The following is a DFT calculation (PBE-GGA) of crystalline Cd4Ag7Pb at its relaxed geometry.

Summary:
* magnetization: 0.000 μB/atom
* calculated volume: 21.6 Å³/atom
* E_form: 0.107 eV/atom

Geometry as CIF:
```
data_Cd4Ag7Pb
_symmetry_space_group_name_H-M 'C 1 2/m 1'
_symmetry_Int_Tables_number 12
_symmetry_space_group_name_Hall '-C 2y'
_cell_length_a 10.797
_cell_length_b 5.290
_cell_length_c 10.530
_cell_angle_alpha 90.00
_cell_angle_beta 120.28
_cell_angle_gamma 90.00
loop_
_atom_site_label
_atom_site_type_symbol
_atom_site_fract_x
_atom_site_fract_y
_atom_site_fract_z
Cd1 Cd 0.085 0.000 0.316
Cd2 Cd 0.176 0.500 0.771
Ag1 Ag 0.000 0.000 0.000
Ag2 Ag 0.117 0.500 0.467
Ag3 Ag 0.166 0.000 0.622
Ag4 Ag 0.203 0.000 0.912
Pb1 Pb 0.000 0.500 0.000
```